1.
Computed, not measured: a relaxed Li2MnAsP crystal at the PBE level of DFT.

abc: 4.405 4.405 5.083
angles: 90.00 90.00 90.00
Space group P4/mmm (No. 123)
Asymmetric unit:
Li 0.000 0.500 0.000 (multiplicity 2)
Mn 0.000 0.000 0.500 (multiplicity 1)
As 0.500 0.500 0.500 (multiplicity 1)
P 0.500 0.500 0.000 (multiplicity 1)

Computed properties:
Total energy ... -4.36 eV per atom
Spin magnetization ... 0.898 μB/atom
Formation enthalpy at 0 K ... 254.7 meV/atom

2.
Computed, not measured: a relaxed Li2MnAs2Pd crystal at the PBE level of DFT.

abc: 5.610 12.359 5.552
angles: 90.00 90.00 90.00
Space group Ibam (No. 72)
Asymmetric unit:
Li 0.232 0.165 0.000 (multiplicity 8)
Mn 0.000 0.500 0.250 (multiplicity 4)
As 0.211 0.380 0.000 (multiplicity 8)
Pd 0.000 0.000 0.250 (multiplicity 4)

Computed properties:
Total energy ... -5.11 eV per atom
Spin magnetization ... 0.114 μB/atom
Formation enthalpy at 0 K ... -530.4 meV/atom

3.
Computed, not measured: a relaxed LiMn2AsPd crystal at the PBE level of DFT.

abc: 4.626 4.626 4.438
angles: 90.00 90.00 90.00
Space group P4/mmm (No. 123)
Asymmetric unit:
Li 0.000 0.000 0.000 (multiplicity 1)
Mn 0.000 0.500 0.500 (multiplicity 2)
As 0.000 0.000 0.500 (multiplicity 1)
Pd 0.500 0.500 0.000 (multiplicity 1)

Computed properties:
Total energy ... -5.70 eV per atom
Spin magnetization ... 1.592 μB/atom
Formation enthalpy at 0 K ... 314.9 meV/atom

What is the formula in the second record? Li2MnAs2Pd